Below is CrNO after structural relaxation, with properties calculated at the PBE+U level.

Relative energy among the computed polymorphs, eV per atom: 0.3037
Space-group type: C2/m

CIF file:
```
data_CrNO
_space_group_name_H-M_alt 'P 1'
_space_group_IT_number 1
_space_group_name_Hall 'P 1'
_cell_length_a 3.6668
_cell_length_b 3.6668
_cell_length_c 5.8445
_cell_angle_alpha 81.75
_cell_angle_beta 81.75
_cell_angle_gamma 57.74
loop_
_atom_site_label
_atom_site_type_symbol
_atom_site_fract_x
_atom_site_fract_y
_atom_site_fract_z
_atom_site_occupancy
N1 N 0.1715 0.8285 0.0000 1
Cr1 Cr 0.6130 0.6130 0.7127 1
Cr2 Cr 0.3870 0.3870 0.2873 1
N2 N 0.8285 0.1715 0.0000 1
O1 O 0.3192 0.3192 0.6431 1
O2 O 0.6808 0.6808 0.3569 1
```